a) Computed, not measured: crystalline ZnAsSe2O at its relaxed geometry at the PBE level of DFT.

Unit cell a=4.4674 b=4.4674 c=4.5189 alpha=90.00 beta=90.00 gamma=90.00
Positions (direct):
1 O 0.0000 0.0000 0.0000
2 As 0.0000 0.0000 0.5000
3 Zn 0.5000 0.5000 0.5000
4 Se 0.0000 0.5000 0.0000
5 Se 0.5000 0.0000 0.0000

Computed properties:
Total magnetization ... 0.000 μB per atom



b) Computed, not measured: crystalline ZnAsSe2O at its relaxed geometry at the PBE level of DFT.

Unit cell a=4.7751 b=4.7751 c=4.9162 alpha=90.00 beta=90.00 gamma=90.00
Positions (direct):
1 O 0.5000 0.5000 0.5000
2 As 0.0000 0.0000 0.5000
3 Zn 0.0000 0.0000 0.0000
4 Se 0.0000 0.5000 0.0000
5 Se 0.5000 0.0000 0.0000

Computed properties:
Total magnetization ... 0.000 μB per atom



Quick one: least stable of them? b)



a) Computed, not measured: crystalline ZnAs2SeO at its relaxed geometry at the PBE level of DFT.

Unit cell a=4.8425 b=4.6960 c=4.8425 alpha=90.00 beta=90.00 gamma=90.00
Positions (direct):
1 O 0.5000 0.5000 0.5000
2 As 0.0000 0.0000 0.5000
3 As 0.5000 0.0000 0.0000
4 Zn 0.0000 0.0000 0.0000
5 Se 0.0000 0.5000 0.0000

Computed properties:
Total magnetization ... 0.000 μB per atom



b) Computed, not measured: crystalline ZnAs2SeO at its relaxed geometry at the PBE level of DFT.

Unit cell a=4.2555 b=4.2555 c=4.9520 alpha=90.00 beta=90.00 gamma=90.00
Positions (direct):
1 O 0.0000 0.0000 0.0000
2 As 0.0000 0.5000 0.0000
3 As 0.5000 0.0000 0.0000
4 Zn 0.5000 0.5000 0.5000
5 Se 0.0000 0.0000 0.5000

Computed properties:
Total magnetization ... 0.000 μB per atom



Quick one: least stable of them? a)